VASP calculation (PBE) on Tb4PtAu after structural relaxation.

abc: 7.0164 7.0428 7.0885
angles: 90.00 92.42 90.00
Element x y z (fractional)
Au 0.5000 0.5000 0.0000
Tb 0.8541 0.6561 0.1661
Pt 0.0000 0.5000 0.5000
Tb 0.6459 0.1561 0.8339
Au 0.0000 0.0000 0.0000
Pt 0.5000 0.0000 0.5000
Tb 0.3541 0.8439 0.1661
Tb 0.1720 0.8402 0.6552
Tb 0.8280 0.1598 0.3448
Tb 0.3280 0.3402 0.3448
Tb 0.1459 0.3439 0.8339
Tb 0.6720 0.6598 0.6552

Properties
- M_tot: 0.00 Bohr magnetons per cell
- ΔH_f (0 K): -0.62 eV per atom